(1)
Computed, not measured: a relaxed Mg2AlCl crystal at the PBE level of DFT.

Cell and atoms, written as POSCAR:
```
Mg2AlCl
1.0
6.010 0.017 0.000
3.152 5.117 0.000
-4.581 -2.567 2.923
Mg Cl Al
2 1 1
direct
0.000 0.000 0.000
0.250 0.750 0.500
0.750 0.250 0.500
0.500 0.500 0.000
```

- energy above the most stable polymorph in this dataset (meV/atom) = 358.9
- VASP energy (eV/atom) = -2.3335

---

(2)
Computed, not measured: a relaxed ReAuCl2 crystal at the PBE level of DFT.

Cell and atoms, written as POSCAR:
```
ReAuCl2
1.0
4.792 0.000 0.000
0.000 4.792 0.000
0.000 0.000 3.385
Au Cl Re
1 2 1
direct
0.000 0.500 0.500
0.000 0.000 0.000
0.500 0.500 0.000
0.500 0.000 0.500
```

- energy above the most stable polymorph in this dataset (meV/atom) = 1123.8
- VASP energy (eV/atom) = -3.6119

---

(3)
Computed, not measured: a relaxed Ba8Na2Mg crystal at the PBE level of DFT.

Cell and atoms, written as POSCAR:
```
Ba8Na2Mg
1.0
6.310 0.000 -1.807
-0.206 8.416 -0.718
-0.125 -0.199 11.488
Na Ba Mg
2 8 1
direct
0.156 0.170 0.311
0.844 0.830 0.689
0.216 0.624 0.432
0.334 0.080 0.668
0.666 0.920 0.332
0.971 0.229 0.942
0.588 0.408 0.176
0.784 0.376 0.568
0.029 0.771 0.058
0.412 0.592 0.824
0.500 0.000 0.000
```

- energy above the most stable polymorph in this dataset (meV/atom) = 0.0
- VASP energy (eV/atom) = -1.7660
- E_form (eV/atom) = 0.0172